[1]
Density functional theory data (PBE-GGA) for crystalline Ac8Pr2Tm3 at its relaxed geometry.

a b c (Å): 6.6729 6.6578 12.6579
angles (deg): 69.53 84.78 80.48
Fractional positions:
Ac: 0.0866 0.3970 0.1478
Ac: 0.9134 0.6030 0.8522
Ac: 0.1572 0.7783 0.3033
Ac: 0.8428 0.2217 0.6967
Ac: 0.3809 0.9159 0.7808
Ac: 0.3064 0.5388 0.6192
Ac: 0.6936 0.4612 0.3808
Ac: 0.6191 0.0841 0.2192
Pr: 0.7667 0.8488 0.5371
Pr: 0.2333 0.1512 0.4629
Tm: 0.0000 0.0000 0.0000
Tm: 0.4603 0.2947 0.9275
Tm: 0.5397 0.7053 0.0725

***

[2]
Density functional theory data (PBE-GGA) for crystalline AcPr2Tm at its relaxed geometry.

a b c (Å): 3.7432 3.7432 12.3125
angles (deg): 81.26 81.26 60.00
Fractional positions:
Ac: 0.4998 0.4998 0.5005
Pr: 0.0789 0.0789 0.7632
Pr: 0.2546 0.2546 0.2362
Tm: 0.6666 0.6666 0.0001

***

[3]
Density functional theory data (PBE-GGA) for crystalline Ac4Pr5Tm at its relaxed geometry.

a b c (Å): 5.4645 8.9226 10.1229
angles (deg): 118.28 105.66 90.00
Fractional positions:
Ac: 0.3253 0.5750 0.6505
Ac: 0.9764 0.7239 0.9528
Ac: 0.6747 0.4250 0.3495
Ac: 0.0236 0.2761 0.0472
Pr: 0.8212 0.2674 0.6425
Pr: 0.8366 0.8772 0.6731
Pr: 0.1634 0.1228 0.3269
Pr: 0.5000 0.5000 0.0000
Pr: 0.1788 0.7326 0.3575
Tm: 0.5000 0.0000 0.0000

***

[4]
Density functional theory data (PBE-GGA) for crystalline Ac2Pr5Tm6 at its relaxed geometry.

a b c (Å): 3.6656 11.9673 20.7188
angles (deg): 90.00 90.00 90.00
Fractional positions:
Ac: 0.0000 0.3310 0.2746
Ac: 0.0000 0.6690 0.7254
Ac: 0.0000 0.8310 0.2254
Ac: 0.0000 0.1690 0.7746
Pr: 0.5000 0.2983 0.4451
Pr: 0.5000 0.7017 0.5549
Pr: 0.5000 0.7983 0.0549
Pr: 0.5000 0.2017 0.9451
Pr: 0.5000 0.5901 0.2869
Pr: 0.5000 0.4099 0.7131
Pr: 0.5000 0.0901 0.2131
Pr: 0.5000 0.9099 0.7869
Pr: 0.5000 0.5000 0.0000
Pr: 0.5000 0.0000 0.5000
Tm: 0.0000 0.0663 0.3597
Tm: 0.0000 0.9337 0.6403
Tm: 0.0000 0.5663 0.1403
Tm: 0.0000 0.4337 0.8597
Tm: 0.5000 0.3135 0.1190
Tm: 0.5000 0.6865 0.8810
Tm: 0.5000 0.8135 0.3810
Tm: 0.5000 0.1865 0.6190
Tm: 0.0000 0.5633 0.4279
Tm: 0.0000 0.4367 0.5721
Tm: 0.0000 0.0633 0.0721
Tm: 0.0000 0.9367 0.9279

***

[5]
Density functional theory data (PBE-GGA) for crystalline Ac3Pr12Tm at its relaxed geometry.

a b c (Å): 5.3064 5.3064 21.1605
angles (deg): 90.00 90.00 90.00
Fractional positions:
Ac: 0.0000 0.0000 0.2467
Ac: 0.0000 0.0000 0.5000
Ac: 0.0000 0.0000 0.7533
Pr: 0.5000 0.5000 0.0000
Pr: 0.5000 0.5000 0.2455
Pr: 0.5000 0.5000 0.5000
Pr: 0.5000 0.5000 0.7545
Pr: 0.5000 0.0000 0.1191
Pr: 0.5000 0.0000 0.3735
Pr: 0.5000 0.0000 0.6265
Pr: 0.5000 0.0000 0.8809
Pr: 0.0000 0.5000 0.1191
Pr: 0.0000 0.5000 0.3735
Pr: 0.0000 0.5000 0.6265
Pr: 0.0000 0.5000 0.8809
Tm: 0.0000 0.0000 0.0000

***

[6]
Density functional theory data (PBE-GGA) for crystalline AcPr3Tm2 at its relaxed geometry.

a b c (Å): 6.8433 6.8433 11.6508
angles (deg): 64.74 64.74 63.78
Fractional positions:
Ac: 0.2457 0.7543 0.2500
Ac: 0.7543 0.2457 0.7500
Pr: 0.6627 0.6696 0.4165
Pr: 0.3304 0.3373 0.0835
Pr: 0.3373 0.3304 0.5835
Pr: 0.6696 0.6627 0.9165
Pr: 0.7530 0.2470 0.2500
Pr: 0.2470 0.7530 0.7500
Tm: 0.1641 0.1650 0.4183
Tm: 0.8350 0.8359 0.0817
Tm: 0.8359 0.8350 0.5817
Tm: 0.1650 0.1641 0.9183

***

[7]
Density functional theory data (PBE-GGA) for crystalline Ac3Pr3Tm2 at its relaxed geometry.

a b c (Å): 6.1815 6.1612 7.9139
angles (deg): 90.00 90.00 90.00
Fractional positions:
Ac: 0.0000 0.5000 0.5000
Ac: 0.5000 0.0000 0.0000
Ac: 0.5000 0.0000 0.5000
Pr: 0.5000 0.5000 0.2422
Pr: 0.5000 0.5000 0.7578
Pr: 0.0000 0.5000 0.0000
Tm: 0.0000 0.0000 0.2418
Tm: 0.0000 0.0000 0.7582

***

[8]
Density functional theory data (PBE-GGA) for crystalline AcPr8Tm3 at its relaxed geometry.

a b c (Å): 6.4049 6.4049 11.9092
angles (deg): 90.00 90.00 120.00
Fractional positions:
Ac: 0.0000 0.0000 0.5000
Pr: 0.3367 0.3367 0.7579
Pr: 0.6633 0.0000 0.7579
Pr: 0.0000 0.6633 0.7579
Pr: 0.6633 0.6633 0.2421
Pr: 0.3367 0.0000 0.2421
Pr: 0.0000 0.3367 0.2421
Pr: 0.3333 0.6667 0.5000
Pr: 0.6667 0.3333 0.5000
Tm: 0.3333 0.6667 0.0000
Tm: 0.6667 0.3333 0.0000
Tm: 0.0000 0.0000 0.0000

***

[9]
Density functional theory data (PBE-GGA) for crystalline AcPr8Tm5 at its relaxed geometry.

a b c (Å): 8.5881 8.8582 8.5879
angles (deg): 113.62 96.66 117.17
Fractional positions:
Ac: 0.0864 0.5001 0.5863
Pr: 0.2084 0.7262 0.0966
Pr: 0.0835 0.1939 0.7313
Pr: 0.6445 0.1982 0.2906
Pr: 0.6898 0.4443 0.9326
Pr: 0.4883 0.5556 0.2453
Pr: 0.5373 0.8061 0.8896
Pr: 0.3703 0.2738 0.4822
Pr: 0.0923 0.8019 0.4463
Tm: 0.9586 0.2591 0.0765
Tm: 0.8876 0.9589 0.2488
Tm: 0.8174 0.7409 0.6995
Tm: 0.5957 0.9998 0.5958
Tm: 0.2899 0.0411 0.9287

***

[10]
Density functional theory data (PBE-GGA) for crystalline Ac2Pr5Tm at its relaxed geometry.

a b c (Å): 5.3316 5.3316 11.1985
angles (deg): 103.77 103.77 90.00
Fractional positions:
Ac: 0.7498 0.7498 0.4995
Ac: 0.2502 0.2502 0.5005
Pr: 0.5000 0.5000 0.0000
Pr: 0.3812 0.8812 0.7623
Pr: 0.8812 0.3812 0.7623
Pr: 0.6188 0.1188 0.2377
Pr: 0.1188 0.6188 0.2377
Tm: 0.0000 0.0000 0.0000

***

[11]
Density functional theory data (PBE-GGA) for crystalline AcPrTm at its relaxed geometry.

a b c (Å): 3.7803 3.7803 8.1962
angles (deg): 103.33 103.33 90.00
Fractional positions:
Pr: 0.6740 0.6740 0.3479
Ac: 0.9973 0.9973 0.9946
Tm: 0.3288 0.3288 0.6575

***

[12]
Density functional theory data (PBE-GGA) for crystalline AcPrTm6 at its relaxed geometry.

a b c (Å): 5.9973 5.9973 8.7989
angles (deg): 79.65 79.65 70.25
Fractional positions:
Ac: 0.0000 0.0000 0.0000
Pr: 0.5000 0.5000 0.5000
Tm: 0.4768 0.9561 0.7023
Tm: 0.9561 0.4768 0.7023
Tm: 0.0439 0.5232 0.2977
Tm: 0.5232 0.0439 0.2977
Tm: 0.6239 0.6239 0.0790
Tm: 0.3761 0.3761 0.9210

***

Q: Which energy of formation values were calculated for the entries above? A: 0.060; 0.049; 0.269; 0.111; 0.020; 0.062; 0.113; 0.027; 0.186; 0.029; 0.057; 0.407, in eV per atom.
Q: Which N(E_F) values were calculated for the entries above? A: 21.79; 5.60; 14.25; 18.65; 27.08; 8.88; 15.82; 14.90; 19.10; 14.04; 4.81; 15.48, in states/eV/f.u..